# Ti4AlIn2

Crystalline Ti4AlIn2 at its relaxed geometry (PBE, the Alexandria database).

a = 4.916 Å, b = 5.436 Å, c = 6.228 Å
α = 115.88°, β = 90.00°, γ = 90.00°
Last column: magnetic moment on the atom in μB.
Fractional positions:
Ti (0.500, 0.371, 0.741)  0.69
Ti (0.500, 0.629, 0.259)  0.69
In (0.500, 0.880, 0.759)  -0.02
In (0.500, 0.120, 0.241)  -0.02
Al (0.000, 0.500, 0.000)  -0.03
Ti (0.000, 0.246, 0.491)  0.44
Ti (0.000, 0.754, 0.509)  0.44

Calculated values
Calculated total energy   -5.470 eV/atom

=====

# Rb5Ga2O6

Crystalline Rb5Ga2O6 at its relaxed geometry (PBE, the Alexandria database).

a = 6.591 Å, b = 6.591 Å, c = 14.955 Å
α = 81.83°, β = 81.83°, γ = 65.01°
Last column: magnetic moment on the atom in μB.
Fractional positions:
Rb (0.215, 0.093, 0.290)  0.00
O (0.715, 0.600, 0.859)  0.19
O (0.285, 0.400, 0.141)  0.19
O (0.011, 0.134, 0.126)  0.21
Ga (0.087, 0.366, 0.074)  -0.01
O (0.818, 0.641, 0.053)  0.05
Rb (0.203, 0.674, 0.496)  0.00
Rb (0.674, 0.203, 0.996)  0.00
Ga (0.913, 0.634, 0.926)  -0.01
O (0.182, 0.359, 0.947)  0.05
O (0.600, 0.715, 0.359)  0.19
Rb (0.797, 0.326, 0.504)  0.00
Rb (0.093, 0.215, 0.790)  0.00
Rb (0.785, 0.907, 0.710)  0.00
O (0.134, 0.011, 0.626)  0.21
Rb (0.397, 0.603, 0.750)  0.00
O (0.400, 0.285, 0.641)  0.19
O (0.359, 0.182, 0.447)  0.05
Rb (0.603, 0.397, 0.250)  0.00
Ga (0.366, 0.087, 0.574)  -0.01
O (0.989, 0.866, 0.874)  0.21
Rb (0.326, 0.797, 0.004)  0.00
Ga (0.634, 0.913, 0.426)  -0.01
Rb (0.907, 0.785, 0.210)  0.00
O (0.866, 0.989, 0.374)  0.21
O (0.641, 0.818, 0.553)  0.05

Calculated values
Formation energy from raw total energies   -144 kJ per mole of atoms

=====

# Ac2La2Pr2Os

Crystalline Ac2La2Pr2Os at its relaxed geometry (PBE, the Alexandria database).

a = 4.054 Å, b = 7.919 Å, c = 8.836 Å
α = 76.31°, β = 76.80°, γ = 90.08°
Fractional positions:
Os (0.000, 0.000, 0.000)
Ac (0.178, 0.097, 0.646)
Ac (0.822, 0.903, 0.354)
Pr (0.170, 0.567, 0.659)
La (0.503, 0.755, 0.993)
Pr (0.830, 0.433, 0.341)
La (0.497, 0.245, 0.007)

Calculated values
Calculated total energy   -5.545 eV/atom

=====

# Li3Zn8Pt

Crystalline Li3Zn8Pt at its relaxed geometry (PBE, the Alexandria database).

a = 5.039 Å, b = 5.039 Å, c = 8.760 Å
α = 73.29°, β = 73.29°, γ = 60.00°
Fractional positions:
Li (0.504, 0.504, 0.489)
Li (0.375, 0.375, 0.876)
Zn (0.437, 0.935, 0.191)
Zn (0.437, 0.437, 0.191)
Zn (0.938, 0.938, 0.683)
Zn (0.688, 0.688, 0.935)
Zn (0.188, 0.188, 0.437)
Li (0.996, 0.996, 0.013)
Zn (0.938, 0.442, 0.683)
Pt (0.874, 0.874, 0.377)
Zn (0.935, 0.437, 0.191)
Zn (0.442, 0.938, 0.683)

Calculated values
Calculated total energy   -2.058 eV/atom

=====

# CaCr2Ru

Crystalline CaCr2Ru at its relaxed geometry (PBE, the Alexandria database).

a = 5.273 Å, b = 5.273 Å, c = 2.573 Å
α = 90.00°, β = 90.00°, γ = 121.60°
Fractional positions:
Ru (0.500, 0.000, 0.500)
Cr (0.000, 0.000, 0.000)
Ca (0.000, 0.500, 0.500)
Cr (0.500, 0.500, 0.000)

Calculated values
Distance to the lowest polymorph of the same formula   525.8 meV per atom

=====

# LaSm3Cu

Crystalline LaSm3Cu at its relaxed geometry (PBE, the Alexandria database).

a = 5.525 Å, b = 5.525 Å, c = 5.525 Å
α = 90.00°, β = 90.00°, γ = 90.00°
Fractional positions:
Sm (0.500, 0.000, 0.000)
Sm (0.000, 0.000, 0.500)
Sm (0.000, 0.500, 0.000)
La (0.500, 0.500, 0.500)
Cu (0.000, 0.000, 0.000)

Calculated values
Calculated total energy   -4.543 eV/atom

=====

# Th2MnPt9

Crystalline Th2MnPt9 at its relaxed geometry (PBE, the Alexandria database).

a = 4.174 Å, b = 4.174 Å, c = 12.269 Å
α = 90.00°, β = 90.00°, γ = 90.00°
Last column: magnetic moment on the atom in μB.
Fractional positions:
Pt (0.000, 0.500, 0.152)  0.10
Pt (0.500, 0.500, 0.673)  0.01
Th (0.000, 0.000, 0.323)  0.02
Th (0.000, 0.000, 0.677)  0.02
Pt (0.000, 0.500, 0.848)  0.10
Mn (0.000, 0.000, 0.000)  4.03
Pt (0.500, 0.000, 0.152)  0.10
Pt (0.000, 0.500, 0.500)  0.00
Pt (0.500, 0.500, 0.000)  0.12
Pt (0.500, 0.000, 0.500)  0.00
Pt (0.500, 0.500, 0.327)  0.01
Pt (0.500, 0.000, 0.848)  0.10

Calculated values
Distance to the lowest polymorph of the same formula   0.0 meV per atom

=====

# MnInSi2

Crystalline MnInSi2 at its relaxed geometry (PBE, the Alexandria database).

a = 3.045 Å, b = 3.045 Å, c = 6.829 Å
α = 90.00°, β = 90.00°, γ = 90.00°
Fractional positions:
Mn (0.500, 0.500, 0.821)
Si (0.500, 0.500, 0.178)
Si (0.000, 0.000, 0.963)
In (0.000, 0.000, 0.537)

Calculated values
Formation energy from raw total energies   21 kJ per mole of atoms

=====

# IrSe2IN

Crystalline IrSe2IN at its relaxed geometry (PBE, the Alexandria database).

a = 5.358 Å, b = 5.358 Å, c = 3.800 Å
α = 90.00°, β = 90.00°, γ = 90.00°
Fractional positions:
N (0.000, 0.000, 0.500)
Se (0.000, 0.500, 0.000)
Ir (0.500, 0.500, 0.500)
Se (0.500, 0.000, 0.000)
I (0.000, 0.000, 0.000)

Calculated values
Formation energy from raw total energies   191 kJ per mole of atoms
Distance to the lowest polymorph of the same formula   1470.1 meV per atom

=====

# Na2CrAg

Crystalline Na2CrAg at its relaxed geometry (PBE, the Alexandria database).

a = 8.341 Å, b = 8.341 Å, c = 6.569 Å
α = 50.59°, β = 50.59°, γ = 90.00°
Last column: magnetic moment on the atom in μB.
Fractional positions:
Ag (0.750, 0.250, 0.500)  0.04
Na (0.647, 0.125, 0.250)  0.00
Ag (0.000, 0.000, 0.000)  0.04
Na (0.875, 0.897, 0.750)  0.00
Cr (0.250, 0.750, 0.500)  4.13
Na (0.103, 0.625, 0.250)  0.00
Na (0.375, 0.353, 0.750)  0.00
Cr (0.500, 0.500, 0.000)  4.13

Calculated values
Distance to the lowest polymorph of the same formula   65.3 meV per atom

=====

# VPCCl2

Crystalline VPCCl2 at its relaxed geometry (PBE, the Alexandria database).

a = 4.575 Å, b = 4.575 Å, c = 4.842 Å
α = 90.00°, β = 90.00°, γ = 90.00°
Last column: magnetic moment on the atom in μB.
Fractional positions:
Cl (0.500, 0.000, 0.000)  -0.06
P (0.000, 0.000, 0.500)  -0.41
C (0.500, 0.500, 0.500)  0.83
V (0.000, 0.000, 0.000)  1.31
Cl (0.000, 0.500, 0.000)  -0.06

Calculated values
Formation energy from raw total energies   113 kJ per mole of atoms
Distance to the lowest polymorph of the same formula   0.0 meV per atom

=====

# In2AgSb

Crystalline In2AgSb at its relaxed geometry (PBE, the Alexandria database).

a = 5.751 Å, b = 5.751 Å, c = 5.751 Å
α = 132.86°, β = 132.86°, γ = 68.87°
Fractional positions:
In (0.500, 0.500, 0.000)
Sb (0.250, 0.750, 0.500)
In (0.000, 0.000, 0.000)
Ag (0.750, 0.250, 0.500)

Calculated values
Formation energy from raw total energies   9 kJ per mole of atoms